AlAgMo: optimized geometry, PBE.

Output
As for the energy of formation from the pure elements: 0.673 eV per atom. The distance to the lowest polymorph of the same formula is 585 meV per atom. As for the total energy: -5.136 eV per atom.

Cell: 6.067 6.067 6.067 Å, 90.00 90.00 90.00°
Fractional positions:
Al 0.000 0.000 0.000
Al 0.000 0.500 0.500
Al 0.500 0.000 0.500
Al 0.500 0.500 0.000
Ag 0.250 0.250 0.750
Ag 0.250 0.750 0.250
Ag 0.750 0.250 0.250
Ag 0.750 0.750 0.750
Mo 0.250 0.250 0.250
Mo 0.250 0.750 0.750
Mo 0.750 0.250 0.750
Mo 0.750 0.750 0.250